A relaxed Pr3Ga9Ru2 crystal. Source: Alexandria via LeMat-Bulk, functional PBE-GGA.

## Properties
ΔH_f (0 K)   -750 kJ/mol of formula units
Symmetry   Immm
Total DFT energy (no corrections)   -4.85 eV per atom

Cell lengths 8.3067, 8.3067, 8.3067 Å; angles 149.62, 109.75, 78.43 degrees
Fractional positions:
Pr (0.0000, 0.0000, 0.0000)
Pr (0.3000, 0.3000, 0.0000)
Pr (0.7000, 0.7000, 0.0000)
Ga (0.0126, 0.6523, 0.3602)
Ga (0.1546, 0.8725, 0.2821)
Ga (0.2921, 0.6523, 0.6398)
Ga (0.4096, 0.1275, 0.2821)
Ga (0.5000, 0.0000, 0.5000)
Ga (0.5904, 0.8725, 0.7179)
Ga (0.7079, 0.3477, 0.3602)
Ga (0.8454, 0.1275, 0.7179)
Ga (0.9874, 0.3477, 0.6398)
Ru (0.3236, 0.5000, 0.8236)
Ru (0.6764, 0.5000, 0.1764)

A relaxed Na3TbF6 crystal. Source: Alexandria via LeMat-Bulk, functional PBE-GGA.

## Properties
Uncorrected formation energy   -32.52 eV/f.u.
Symmetry   Cmmm
Total DFT energy (no corrections)   -5.23 eV per atom

Cell lengths 6.6631, 6.6631, 3.7836 Å; angles 90.00, 90.00, 113.75 degrees
Fractional positions:
Na (0.0000, 0.0000, 0.0000)
Na (0.0000, 0.5000, 0.5000)
Na (0.5000, 0.0000, 0.5000)
Tb (0.5000, 0.5000, 0.0000)
F (0.1177, 0.3578, 0.0000)
F (0.3578, 0.1177, 0.0000)
F (0.3815, 0.6185, 0.5000)
F (0.6185, 0.3815, 0.5000)
F (0.6422, 0.8823, 0.0000)
F (0.8823, 0.6422, 0.0000)

A relaxed NpTi crystal. Source: Alexandria via LeMat-Bulk, functional PBE-GGA.

## Properties
ΔH_f (0 K)   32 kJ/mol of formula units
Symmetry   P2_1/m
Total DFT energy (no corrections)   -10.25 eV per atom

Cell lengths 4.7487, 3.3247, 4.7610 Å; angles 90.00, 98.79, 90.00 degrees
Fractional positions:
Np (0.1883, 0.2500, 0.0181)
Np (0.8117, 0.7500, 0.9819)
Ti (0.2536, 0.7500, 0.5352)
Ti (0.7464, 0.2500, 0.4648)

A relaxed RuPt2S crystal. Source: Alexandria via LeMat-Bulk, functional PBE-GGA.

## Properties
Uncorrected formation energy   1.00 eV/f.u.
Symmetry   I-42d
Total DFT energy (no corrections)   -6.12 eV per atom

Cell lengths 5.5733, 5.5733, 5.5733 Å; angles 101.75, 101.75, 126.35 degrees
Fractional positions:
Ru (0.0000, 0.0000, 0.0000)
Ru (0.7500, 0.2500, 0.5000)
Pt (0.1619, 0.6250, 0.0369)
Pt (0.3750, 0.4119, 0.5369)
Pt (0.5881, 0.1250, 0.9631)
Pt (0.8750, 0.8381, 0.4631)
S (0.2500, 0.7500, 0.5000)
S (0.5000, 0.5000, 0.0000)

Question: What is the total DFT energy (no corrections) in the first record?
Answer: -4.85 eV per atom

Question: total DFT energy (no corrections) of number 1 (Pr3Ga9Ru2)?
Answer: -4.85 eV per atom

Question: Look up the total DFT energy (no corrections) of the first one.
Answer: -4.85 eV per atom

Question: Which of these has the lowest total DFT energy (no corrections)?
Answer: NpTi